(1)
DFT (GGA-PBE) results for an optimized crystal structure of Pm5SiS5.

Cell lengths 5.7402, 7.0789, 8.1778 Å; angles 106.73, 90.00, 113.92 degrees
With the nearest neighbours (Å) after each atom.
Atoms (fractional coordinates):
Pm: 0.8395 0.6790 0.1761  5 S 2.80-2.89, 1 Si 2.88
Pm: 0.8346 0.6691 0.6636  5 S 2.86-2.91, 1 Si 2.91
Pm: 0.5000 0.0000 0.0000  2 Si 2.87, 4 S 2.91
Pm: 0.1654 0.3309 0.3364  5 S 2.86-2.91, 1 Si 2.91
Pm: 0.1605 0.3210 0.8239  5 S 2.80-2.89, 1 Si 2.88
Si: 0.0000 0.0000 0.0000  6 Pm 2.87-2.91
S: 0.6707 0.3414 0.3317  5 Pm 2.85-2.91
S: 0.6732 0.3464 0.8429  5 Pm 2.88-2.91
S: 0.0000 0.0000 0.5000  4 Pm 2.80-2.86
S: 0.3268 0.6536 0.1571  5 Pm 2.88-2.91
S: 0.3293 0.6586 0.6683  5 Pm 2.85-2.91

Values from the calculation:
calculated density	5.26	g cm⁻³
total magnetization	0.00	μB per formula unit
formation energy (no corrections)	-1.82	eV/atom

(2)
DFT (GGA-PBE) results for an optimized crystal structure of Pm3SiS6.

Cell lengths 6.6065, 8.6718, 8.6718 Å; angles 102.05, 90.00, 90.00 degrees
With the nearest neighbours (Å) after each atom.
Atoms (fractional coordinates):
Pm: 0.4821 0.9150 0.7240  7 S 2.74-3.04
Pm: 0.9821 0.7240 0.9150  7 S 2.74-3.04
Pm: 0.3915 0.4048 0.5952  6 S 2.77-2.93
Pm: 0.8915 0.5952 0.4048  6 S 2.77-2.93
Pm: 0.9821 0.0850 0.2760  7 S 2.74-3.04
Pm: 0.4821 0.2760 0.0850  7 S 2.74-3.04
Si: 0.0327 0.2003 0.7997  4 S 2.15-2.20
Si: 0.5327 0.7997 0.2003  4 S 2.15-2.20
S: 0.1879 0.6931 0.6299  4 Pm 2.74-2.80
S: 0.6879 0.6299 0.6931  4 Pm 2.74-2.80
S: 0.1841 0.4203 0.8967  1 Si 2.16
S: 0.6841 0.8967 0.4203  1 Si 2.16
S: 0.1452 0.0467 0.9533  1 Si 2.20
S: 0.7077 0.2109 0.7891  1 Si 2.15
S: 0.2077 0.7891 0.2109  1 Si 2.15
S: 0.6452 0.9533 0.0467  1 Si 2.20
S: 0.1841 0.1033 0.5797  1 Si 2.16
S: 0.6841 0.5797 0.1033  1 Si 2.16
S: 0.1879 0.3701 0.3069  4 Pm 2.74-2.80
S: 0.6879 0.3069 0.3701  4 Pm 2.74-2.80

Values from the calculation:
calculated density	4.48	g cm⁻³
total magnetization	0.00	μB per formula unit
formation energy (no corrections)	-1.62	eV/atom

(3)
DFT (GGA-PBE) results for an optimized crystal structure of PmSi2S4.

Cell lengths 5.8551, 5.8551, 5.8551 Å; angles 104.63, 104.63, 119.67 degrees
With the nearest neighbours (Å) after each atom.
Atoms (fractional coordinates):
Pm: 0.5000 0.5000 0.0000  4 S 2.91
Si: 0.2500 0.7500 0.5000  4 S 2.27
Si: 0.7500 0.2500 0.5000  4 S 2.27
S: 0.3055 0.1430 0.4485  2 Si 2.27
S: 0.8570 0.3055 0.1625  2 Si 2.27
S: 0.1430 0.6945 0.8375  2 Si 2.27
S: 0.6945 0.8570 0.5515  2 Si 2.27

Values from the calculation:
calculated density	3.63	g cm⁻³
total magnetization	0.00	μB per formula unit
formation energy (no corrections)	-0.46	eV/atom

(4)
DFT (GGA-PBE) results for an optimized crystal structure of Pm2SiS4.

Cell lengths 6.4677, 6.4677, 5.8864 Å; angles 123.32, 123.32, 90.00 degrees
With the nearest neighbours (Å) after each atom.
Atoms (fractional coordinates):
Pm: 0.7500 0.2500 0.5000  8 S 2.94
Pm: 0.2500 0.7500 0.5000  8 S 2.94
Si: 0.5000 0.5000 0.0000  4 S 2.27
S: 0.7487 0.2514 0.0001  1 Si 2.27
S: 0.2514 0.7487 0.0001  1 Si 2.27
S: 0.7486 0.7486 0.9999  1 Si 2.27
S: 0.2513 0.2513 0.9999  1 Si 2.27

Values from the calculation:
calculated density	4.78	g cm⁻³
total magnetization	0.00	μB per formula unit
formation energy (no corrections)	-1.31	eV/atom

(5)
DFT (GGA-PBE) results for an optimized crystal structure of Pm4Si2S.

Cell lengths 5.1355, 5.1355, 8.5589 Å; angles 107.46, 107.46, 90.00 degrees
With the nearest neighbours (Å) after each atom.
Atoms (fractional coordinates):
S: 0.0000 0.0000 0.0000  6 Pm 2.57-2.79
Si: 0.6300 0.6300 0.2599  5 Pm 2.94-3.26
Si: 0.3700 0.3700 0.7401  5 Pm 2.94-3.26
Pm: 0.8199 0.8199 0.6398  1 S 2.79, 1 Si 2.94
Pm: 0.1801 0.1801 0.3602  1 S 2.79, 1 Si 2.94
Pm: 0.0000 0.5000 0.0000  2 S 2.57
Pm: 0.5000 0.0000 0.0000  2 S 2.57

Values from the calculation:
calculated density	5.43	g cm⁻³
total magnetization	0.00	μB per formula unit
formation energy (no corrections)	-0.63	eV/atom

(6)
DFT (GGA-PBE) results for an optimized crystal structure of Pm2SiS.

Cell lengths 4.1340, 4.1340, 7.2445 Å; angles 73.42, 73.42, 60.00 degrees
With the nearest neighbours (Å) after each atom.
Atoms (fractional coordinates):
S: 0.5000 0.5000 0.5000  6 Pm 2.93
Si: 0.0000 0.0000 0.0000  6 Pm 2.94
Pm: 0.2498 0.2498 0.2505  3 S 2.93, 3 Si 2.94
Pm: 0.7502 0.7502 0.7495  3 S 2.93, 3 Si 2.94

Values from the calculation:
calculated density	5.74	g cm⁻³
total magnetization	0.00	μB per formula unit
formation energy (no corrections)	-1.36	eV/atom

| no. | DFT total energy (eV per atom) |
| --- | --- |
| 1 | -6.350 |
| 2 | -6.069 |
| 3 | -5.049 |
| 4 | -5.796 |
| 5 | -5.486 |
| 6 | -6.126 |